Material: HfIr2Br
Method: DFT, PBE
State: optimized geometry

Cell lengths 5.651, 5.651, 7.276 Å; angles 67.15, 67.15, 90.00 degrees
Sites, in units of the cell vectors:
Br: 0.250 0.750 0.500
Br: 0.500 0.500 0.000
Ir: 0.375 0.398 0.750
Ir: 0.602 0.125 0.250
Ir: 0.148 0.625 0.250
Ir: 0.875 0.852 0.750
Hf: 0.750 0.250 0.500
Hf: 0.000 0.000 0.000

relative energy among the computed polymorphs	195	meV per atom
space-group type	No. 122
formation energy without anion corrections	54.3	kJ per mole of atoms
M_tot	0.0	μB/f.u.